[1]
Entry from Alexandria via LeMat-Bulk: a relaxed structure of CeSm2S4 (PBE).

Unit cell a=7.371 b=7.371 c=7.371 alpha=109.57 beta=109.57 gamma=109.28
Fractional positions:
Ce 0.000 0.000 0.000
Ce 0.750 0.250 0.500
Sm 0.260 0.625 0.135
Sm 0.375 0.510 0.635
Sm 0.490 0.125 0.865
Sm 0.875 0.740 0.365
S 0.126 0.228 0.749
S 0.127 0.729 0.751
S 0.271 0.022 0.398
S 0.479 0.377 0.251
S 0.623 0.874 0.102
S 0.624 0.873 0.602
S 0.772 0.521 0.898
S 0.978 0.376 0.249

Summary:
Total DFT energy (no corrections) ... -6.572 eV/atom
ρ ... 6.13 g cm⁻³
Fermi-level density of states ... 16.1 states/eV per cell
Formation energy from raw total energies ... -1362 kJ/mol of formula units
Relative energy among the computed polymorphs ... 0.020 eV per atom
Magnetic moment ... 3.211 Bohr magnetons per cell

***

[2]
Entry from Alexandria via LeMat-Bulk: a relaxed structure of SrCe2SmS4 (PBE).

Unit cell a=7.068 b=4.059 c=7.103 alpha=90.00 beta=109.16 gamma=90.00
Fractional positions:
Sr 0.000 0.000 0.000
Ce 0.000 0.500 0.500
Ce 0.500 0.000 0.500
Sm 0.500 0.500 0.000
S 0.255 0.000 0.750
S 0.257 0.500 0.255
S 0.743 0.500 0.745
S 0.745 0.000 0.250

Summary:
Total DFT energy (no corrections) ... -6.356 eV/atom
ρ ... 5.58 g cm⁻³
Fermi-level density of states ... 12.2 states/eV per cell
Formation energy from raw total energies ... -1550 kJ/mol of formula units
Magnetic moment ... 2.148 Bohr magnetons per cell

***

[3]
Entry from Alexandria via LeMat-Bulk: a relaxed structure of SrCeSm2S4 (PBE).

Unit cell a=7.054 b=4.052 c=7.076 alpha=90.00 beta=109.21 gamma=90.00
Fractional positions:
Sr 0.000 0.000 0.000
Ce 0.000 0.500 0.500
Sm 0.500 0.000 0.500
Sm 0.500 0.500 0.000
S 0.255 0.000 0.748
S 0.259 0.500 0.257
S 0.741 0.500 0.743
S 0.745 0.000 0.252

Summary:
Total DFT energy (no corrections) ... -6.220 eV/atom
ρ ... 5.71 g cm⁻³
Fermi-level density of states ... 7.7 states/eV per cell
Formation energy from raw total energies ... -1562 kJ/mol of formula units
Magnetic moment ... 0.974 Bohr magnetons per cell

***

[4]
Entry from Alexandria via LeMat-Bulk: a relaxed structure of SrCeSm4S8 (PBE).

Unit cell a=8.367 b=8.367 c=8.367 alpha=59.69 beta=59.69 gamma=59.69
Fractional positions:
Sr 0.000 0.000 0.000
Ce 0.626 0.626 0.626
Sm 0.120 0.626 0.626
Sm 0.250 0.250 0.250
Sm 0.626 0.120 0.626
Sm 0.626 0.626 0.120
S 0.380 0.380 0.853
S 0.380 0.853 0.380
S 0.382 0.382 0.382
S 0.414 0.863 0.863
S 0.853 0.380 0.380
S 0.862 0.862 0.862
S 0.863 0.414 0.863
S 0.863 0.863 0.414

Summary:
Total DFT energy (no corrections) ... -6.212 eV/atom
ρ ... 4.38 g cm⁻³
Fermi-level density of states ... 10.0 states/eV per cell
Formation energy from raw total energies ... -2650 kJ/mol of formula units
Magnetic moment ... 1.389 Bohr magnetons per cell